(1)
VASP calculation (PBE-GGA) on a geometry-optimized As3Pt4 structure.

```
As3Pt4
1.0
5.176 0.000 0.000
-2.588 4.483 0.000
0.000 0.000 5.178
As Pt
3 4
Direct
0.000 0.500 0.000
0.500 0.000 0.000
0.500 0.500 0.000
0.000 0.000 0.258
0.000 0.000 0.742
0.333 0.667 0.500
0.667 0.333 0.500
```

E_form: 0.42 eV/atom

(2)
VASP calculation (PBE-GGA) on a geometry-optimized AsPt2 structure.

```
AsPt2
1.0
5.209 -1.843 0.000
5.209 1.843 0.000
-1.785 0.000 5.273
As Pt
2 4
Direct
0.183 0.183 0.159
0.817 0.817 0.841
0.138 0.138 0.693
0.446 0.446 0.727
0.554 0.554 0.273
0.862 0.862 0.307
```

E_form: -0.22 eV/atom

(3)
VASP calculation (PBE-GGA) on a geometry-optimized AsPt4 structure.

```
AsPt4
1.0
4.611 0.000 0.000
0.000 4.611 0.000
0.000 0.000 4.611
As Pt
1 4
Direct
0.000 0.000 0.000
0.000 0.000 0.500
0.000 0.500 0.000
0.500 0.000 0.000
0.500 0.500 0.500
```

E_form: 0.72 eV/atom
energy above the most stable polymorph in this dataset: 14.47 kcal/mol of atoms

Electronic total energy? In order: -5.022 -5.800 -5.038 eV per atom.